Computed, not measured: an optimized crystal structure of KNdCoO3 at the PBE with a Hubbard U level of DFT.

abc: 7.0777 7.0777 7.5158
angles: 104.04 104.04 31.24
With the nearest neighbours (Å) after each atom.
Atoms (fractional coordinates):
1 K 0.1478 0.1478 0.0678  7 O 2.73-3.05
2 K 0.8522 0.8522 0.9322  7 O 2.73-3.05
3 Nd 0.1535 0.1535 0.5789  7 O 2.36-2.59
4 Nd 0.8465 0.8465 0.4211  7 O 2.36-2.59
5 Co 0.4951 0.4951 0.7194  3 O 1.91-2.02
6 Co 0.5049 0.5049 0.2806  3 O 1.91-2.02
7 O 0.0093 0.0093 0.3021  2 Co 1.91
8 O 0.3313 0.3313 0.6305  1 Co 2.16, 1 Nd 2.36
9 O 0.3517 0.3517 0.2235  1 Co 2.02
10 O 0.6483 0.6483 0.7765  1 Co 2.02
11 O 0.6687 0.6687 0.3695  1 Co 2.16, 1 Nd 2.36
12 O 0.9907 0.9907 0.6979  2 Co 1.91

Properties
symmetry	C2/m, No. 12
crystal system	monoclinic
mass density	5.10	Mg/m³
total DFT energy (no corrections)	-6.338	eV/atom